[1]
DFT (PBE) results for a geometry-optimized Sc4Nb2Ga3N3 structure.

## Properties
The raw total energy is -7.74 eV/atom. The magnetic moment is 0.0 μB/cell. For the mass density, the calculation gives 5.617 g cm⁻³.

Cell lengths 5.549, 5.549, 14.006 Å; angles 101.28, 101.28, 60.25 degrees
Sites, in units of the cell vectors:
Sc  0.034  0.193  0.092
Sc  0.132  0.304  0.408
Sc  0.193  0.034  0.592
Sc  0.304  0.132  0.908
Sc  0.696  0.868  0.092
Sc  0.807  0.966  0.408
Sc  0.868  0.696  0.592
Sc  0.966  0.807  0.908
Nb  0.359  0.526  0.079
Nb  0.474  0.641  0.421
Nb  0.526  0.359  0.579
Nb  0.641  0.474  0.921
Ga  0.124  0.876  0.250
Ga  0.291  0.417  0.750
Ga  0.417  0.291  0.250
Ga  0.583  0.709  0.750
Ga  0.709  0.583  0.250
Ga  0.876  0.124  0.750
N  0.000  0.500  0.000
N  0.158  0.671  0.500
N  0.329  0.842  0.000
N  0.500  0.000  0.500
N  0.671  0.158  0.000
N  0.842  0.329  0.500

=====

[2]
DFT (PBE) results for a geometry-optimized Nb4GaSnN2 structure.

## Properties
The raw total energy is -8.61 eV/atom. The magnetic moment is 0.0 μB/cell. For the mass density, the calculation gives 8.058 g cm⁻³.

Cell lengths 3.230, 3.230, 13.418 Å; angles 90.00, 90.00, 120.00 degrees
Sites, in units of the cell vectors:
Nb  0.000  0.000  0.157
Nb  0.000  0.000  0.843
Nb  0.333  0.667  0.326
Nb  0.333  0.667  0.674
Ga  0.333  0.667  0.000
Sn  0.000  0.000  0.500
N  0.667  0.333  0.243
N  0.667  0.333  0.757

=====

[3]
DFT (PBE) results for a geometry-optimized TaNb3Ga2N2 structure.

## Properties
The raw total energy is -8.75 eV/atom. The magnetic moment is 0.0 μB/cell. For the mass density, the calculation gives 9.079 g cm⁻³.

Cell lengths 3.125, 3.125, 13.559 Å; angles 90.00, 90.00, 120.00 degrees
Sites, in units of the cell vectors:
Ta  0.000  0.000  0.000
Nb  0.000  0.000  0.679
Nb  0.333  0.667  0.179
Nb  0.333  0.667  0.499
Ga  0.000  0.000  0.339
Ga  0.333  0.667  0.839
N  0.667  0.333  0.088
N  0.667  0.333  0.589

=====

[4]
DFT (PBE) results for a geometry-optimized Ta2Nb4Ga3N3 structure.

## Properties
The raw total energy is -8.82 eV/atom. The magnetic moment is 0.0 μB/cell. For the mass density, the calculation gives 9.528 g cm⁻³.

Cell lengths 5.426, 5.426, 13.816 Å; angles 101.34, 101.34, 60.05 degrees
Sites, in units of the cell vectors:
Ta  0.029  0.857  0.589
Ta  0.143  0.971  0.911
Ta  0.857  0.029  0.089
Ta  0.971  0.143  0.411
Nb  0.196  0.370  0.090
Nb  0.310  0.463  0.410
Nb  0.370  0.196  0.590
Nb  0.463  0.310  0.910
Nb  0.537  0.690  0.090
Nb  0.630  0.804  0.410
Nb  0.690  0.537  0.590
Nb  0.804  0.630  0.910
Ga  0.083  0.250  0.749
Ga  0.250  0.083  0.249
Ga  0.417  0.583  0.750
Ga  0.583  0.417  0.250
Ga  0.750  0.917  0.751
Ga  0.917  0.750  0.251
N  0.000  0.500  0.500
N  0.159  0.684  0.000
N  0.316  0.841  0.500
N  0.500  0.000  0.000
N  0.684  0.159  0.500
N  0.841  0.316  0.000

=====

[5]
DFT (PBE) results for a geometry-optimized Nb4TlGaN2 structure.

## Properties
The raw total energy is -8.33 eV/atom. The magnetic moment is 0.0 μB/cell. For the mass density, the calculation gives 9.135 g cm⁻³.

Cell lengths 3.211, 3.211, 13.716 Å; angles 90.00, 90.00, 120.00 degrees
Sites, in units of the cell vectors:
Nb  0.000  0.000  0.154
Nb  0.000  0.000  0.846
Nb  0.333  0.667  0.321
Nb  0.333  0.667  0.679
Tl  0.000  0.000  0.500
Ga  0.333  0.667  0.000
N  0.667  0.333  0.239
N  0.667  0.333  0.761

=====

[6]
DFT (PBE) results for a geometry-optimized Nb2Ga3W4N3 structure.

## Properties
The raw total energy is -9.02 eV/atom. The magnetic moment is 0.0 μB/cell. For the mass density, the calculation gives 12.216 g cm⁻³.

Cell lengths 5.013, 5.013, 14.940 Å; angles 99.72, 99.72, 59.96 degrees
Sites, in units of the cell vectors:
Nb  0.033  0.866  0.598
Nb  0.134  0.967  0.902
Nb  0.866  0.033  0.098
Nb  0.967  0.134  0.402
Ga  0.082  0.268  0.750
Ga  0.268  0.082  0.250
Ga  0.432  0.568  0.750
Ga  0.568  0.432  0.250
Ga  0.732  0.918  0.750
Ga  0.918  0.732  0.250
W  0.200  0.365  0.097
W  0.300  0.468  0.403
W  0.365  0.200  0.597
W  0.468  0.300  0.903
W  0.532  0.700  0.097
W  0.635  0.800  0.403
W  0.700  0.532  0.597
W  0.800  0.635  0.903
N  0.000  0.500  0.500
N  0.173  0.652  0.000
N  0.348  0.827  0.500
N  0.500  0.000  0.000
N  0.652  0.173  0.500
N  0.827  0.348  0.000

=====

[7]
DFT (PBE) results for a geometry-optimized Zr4Nb2Ga3N3 structure.

## Properties
The raw total energy is -8.37 eV/atom. The magnetic moment is 0.0 μB/cell. For the mass density, the calculation gives 7.164 g cm⁻³.

Cell lengths 5.574, 5.574, 14.171 Å; angles 101.34, 101.34, 60.11 degrees
Sites, in units of the cell vectors:
Zr  0.031  0.198  0.095
Zr  0.136  0.302  0.405
Zr  0.198  0.031  0.595
Zr  0.302  0.136  0.905
Zr  0.698  0.864  0.095
Zr  0.802  0.969  0.405
Zr  0.864  0.698  0.595
Zr  0.969  0.802  0.905
Nb  0.362  0.528  0.083
Nb  0.472  0.638  0.417
Nb  0.528  0.362  0.583
Nb  0.638  0.472  0.917
Ga  0.122  0.878  0.250
Ga  0.287  0.418  0.750
Ga  0.418  0.287  0.250
Ga  0.582  0.713  0.750
Ga  0.713  0.582  0.250
Ga  0.878  0.122  0.750
N  0.000  0.500  0.000
N  0.159  0.670  0.500
N  0.330  0.841  0.000
N  0.500  0.000  0.500
N  0.670  0.159  0.000
N  0.841  0.330  0.500

=====

[8]
DFT (PBE) results for a geometry-optimized GaNi5N structure.

## Properties
The raw total energy is -5.60 eV/atom. The magnetic moment is 0.0 μB/cell. For the mass density, the calculation gives 8.542 g cm⁻³.

Cell lengths 3.449, 3.449, 6.166 Å; angles 90.00, 90.00, 90.00 degrees
Sites, in units of the cell vectors:
Ga  0.000  0.000  0.000
Ni  0.000  0.500  0.306
Ni  0.000  0.500  0.694
Ni  0.500  0.000  0.306
Ni  0.500  0.000  0.694
Ni  0.500  0.500  0.000
N  0.500  0.500  0.500

=====

[9]
DFT (PBE) results for a geometry-optimized Sc4GaNiN2 structure.

## Properties
The raw total energy is -7.41 eV/atom. The magnetic moment is 0.2 μB/cell. For the mass density, the calculation gives 4.652 g cm⁻³.

Cell lengths 3.192, 3.192, 13.599 Å; angles 90.00, 90.00, 120.00 degrees
Sites, in units of the cell vectors:
Sc  0.000  0.000  0.144
Sc  0.000  0.000  0.856
Sc  0.333  0.667  0.329
Sc  0.333  0.667  0.671
Ga  0.000  0.000  0.500
Ni  0.333  0.667  0.000
N  0.667  0.333  0.243
N  0.667  0.333  0.757

=====

[10]
DFT (PBE) results for a geometry-optimized PaGaNO structure.

## Properties
The raw total energy is -7.34 eV/atom. The value obtained for the energy above the lowest structure with this stoichiometry is 0.200 eV per formula unit. The magnetic moment is 2.0 μB/cell. For the mass density, the calculation gives 8.093 g cm⁻³.

Cell lengths 3.665, 5.778, 6.409 Å; angles 90.00, 90.00, 90.00 degrees
Sites, in units of the cell vectors:
Pa  0.000  0.201  0.000
Pa  0.000  0.799  0.500
Ga  0.500  0.256  0.458
Ga  0.500  0.744  0.958
N  0.500  0.420  0.985
N  0.500  0.580  0.485
O  0.000  0.170  0.649
O  0.000  0.830  0.149

=====

[11]
DFT (PBE) results for a geometry-optimized PaGaNO structure.

## Properties
The raw total energy is -7.18 eV/atom. The value obtained for the energy above the lowest structure with this stoichiometry is 0.851 eV per formula unit. The magnetic moment is 0.1 μB/cell. For the mass density, the calculation gives 10.018 g cm⁻³.

Cell lengths 4.743, 4.743, 4.874 Å; angles 90.00, 90.00, 90.00 degrees
Sites, in units of the cell vectors:
Pa  0.250  0.750  0.000
Pa  0.750  0.250  0.000
Ga  0.250  0.250  0.461
Ga  0.750  0.750  0.539
N  0.250  0.250  0.853
N  0.750  0.750  0.147
O  0.250  0.750  0.500
O  0.750  0.250  0.500

=====

[12]
DFT (PBE) results for a geometry-optimized PaGaNO structure.

## Properties
The raw total energy is -7.39 eV/atom. The value obtained for the energy above the lowest structure with this stoichiometry is 0.000 eV per formula unit. The magnetic moment is 2.0 μB/cell. For the mass density, the calculation gives 8.425 g cm⁻³.

Cell lengths 3.760, 5.628, 6.161 Å; angles 90.00, 90.00, 90.00 degrees
Sites, in units of the cell vectors:
Pa  0.000  0.212  0.000
Pa  0.000  0.788  0.500
Ga  0.500  0.222  0.488
Ga  0.500  0.778  0.988
N  0.000  0.181  0.641
N  0.000  0.819  0.141
O  0.500  0.436  0.982
O  0.500  0.564  0.482

=====

[13]
DFT (PBE) results for a geometry-optimized PaGaNO structure.

## Properties
The raw total energy is -7.36 eV/atom. The value obtained for the energy above the lowest structure with this stoichiometry is 0.110 eV per formula unit. The magnetic moment is 0.0 μB/cell. For the mass density, the calculation gives 10.009 g cm⁻³.

Cell lengths 3.508, 3.508, 8.919 Å; angles 90.00, 90.00, 90.00 degrees
Sites, in units of the cell vectors:
Pa  0.250  0.250  0.172
Pa  0.750  0.750  0.828
Ga  0.250  0.750  0.500
Ga  0.750  0.250  0.500
N  0.250  0.250  0.758
N  0.750  0.750  0.242
O  0.250  0.750  0.000
O  0.750  0.250  0.000

=====

[14]
DFT (PBE) results for a geometry-optimized PmGaNO structure.

## Properties
The raw total energy is -6.55 eV/atom. The value obtained for the energy above the lowest structure with this stoichiometry is 0.514 eV per formula unit. The magnetic moment is 0.0 μB/cell. For the mass density, the calculation gives 6.752 g cm⁻³.

Cell lengths 3.971, 3.971, 7.634 Å; angles 90.00, 90.00, 90.00 degrees
Sites, in units of the cell vectors:
Pm  0.250  0.250  0.152
Pm  0.750  0.750  0.848
Ga  0.250  0.750  0.500
Ga  0.750  0.250  0.500
N  0.250  0.250  0.616
N  0.750  0.750  0.384
O  0.250  0.750  0.000
O  0.750  0.250  0.000

=====

[15]
DFT (PBE) results for a geometry-optimized PmGaNO structure.

## Properties
The raw total energy is -6.66 eV/atom. The value obtained for the energy above the lowest structure with this stoichiometry is 0.087 eV per formula unit. The magnetic moment is 0.0 μB/cell. For the mass density, the calculation gives 6.896 g cm⁻³.

Cell lengths 5.848, 7.753, 5.198 Å; angles 90.00, 90.00, 90.00 degrees
Sites, in units of the cell vectors:
Pm  0.048  0.136  0.000
Pm  0.452  0.136  0.500
Pm  0.548  0.864  0.000
Pm  0.952  0.864  0.500
Ga  0.086  0.591  0.950
Ga  0.414  0.591  0.450
Ga  0.586  0.409  0.950
Ga  0.914  0.409  0.450
N  0.109  0.586  0.583
N  0.391  0.586  0.083
N  0.609  0.414  0.583
N  0.891  0.414  0.083
O  0.056  0.176  0.508
O  0.444  0.176  0.008
O  0.556  0.824  0.508
O  0.944  0.824  0.008

=====

[16]
DFT (PBE) results for a geometry-optimized PmGaNO structure.

## Properties
The raw total energy is -6.54 eV/atom. The value obtained for the energy above the lowest structure with this stoichiometry is 0.579 eV per formula unit. The magnetic moment is 0.0 μB/cell. For the mass density, the calculation gives 6.924 g cm⁻³.

Cell lengths 5.017, 5.017, 4.662 Å; angles 90.00, 90.00, 90.00 degrees
Sites, in units of the cell vectors:
Pm  0.250  0.750  0.000
Pm  0.750  0.250  0.000
Ga  0.250  0.250  0.481
Ga  0.750  0.750  0.519
N  0.250  0.250  0.048
N  0.750  0.750  0.952
O  0.250  0.750  0.500
O  0.750  0.250  0.500

=====

[17]
DFT (PBE) results for a geometry-optimized PmGaNO structure.

## Properties
The raw total energy is -6.64 eV/atom. The value obtained for the energy above the lowest structure with this stoichiometry is 0.170 eV per formula unit. The magnetic moment is 0.0 μB/cell. For the mass density, the calculation gives 7.109 g cm⁻³.

Cell lengths 3.856, 5.310, 5.584 Å; angles 90.00, 90.00, 90.00 degrees
Sites, in units of the cell vectors:
Pm  0.000  0.224  0.000
Pm  0.000  0.776  0.500
Ga  0.500  0.250  0.525
Ga  0.500  0.750  0.025
N  0.500  0.056  0.232
N  0.500  0.944  0.732
O  0.000  0.347  0.575
O  0.000  0.653  0.075

=====

[18]
DFT (PBE) results for a geometry-optimized PmGaNO structure.

## Properties
The raw total energy is -6.68 eV/atom. The value obtained for the energy above the lowest structure with this stoichiometry is 0.000 eV per formula unit. The magnetic moment is 0.0 μB/cell. For the mass density, the calculation gives 6.990 g cm⁻³.

Cell lengths 4.120, 5.452, 5.177 Å; angles 90.00, 90.00, 90.00 degrees
Sites, in units of the cell vectors:
Pm  0.000  0.233  0.000
Pm  0.000  0.767  0.500
Ga  0.500  0.259  0.503
Ga  0.500  0.741  0.003
N  0.000  0.198  0.483
N  0.000  0.802  0.983
O  0.500  0.399  0.860
O  0.500  0.601  0.360

=====

[19]
DFT (PBE) results for a geometry-optimized PrGaNO structure.

## Properties
The raw total energy is -6.62 eV/atom. The value obtained for the energy above the lowest structure with this stoichiometry is 0.087 eV per formula unit. The magnetic moment is 0.0 μB/cell. For the mass density, the calculation gives 6.793 g cm⁻³.

Cell lengths 3.863, 5.374, 5.668 Å; angles 90.00, 90.00, 90.00 degrees
Sites, in units of the cell vectors:
Pr  0.000  0.221  0.000
Pr  0.000  0.779  0.500
Ga  0.500  0.249  0.518
Ga  0.500  0.751  0.018
N  0.500  0.038  0.241
N  0.500  0.962  0.741
O  0.000  0.344  0.564
O  0.000  0.656  0.064

=====

[20]
DFT (PBE) results for a geometry-optimized PrGaNO structure.

## Properties
The raw total energy is -6.57 eV/atom. The value obtained for the energy above the lowest structure with this stoichiometry is 0.320 eV per formula unit. The magnetic moment is 0.0 μB/cell. For the mass density, the calculation gives 6.823 g cm⁻³.

Cell lengths 5.422, 8.207, 5.264 Å; angles 90.00, 90.00, 90.00 degrees
Sites, in units of the cell vectors:
Pr  0.011  0.138  0.000
Pr  0.489  0.138  0.500
Pr  0.511  0.862  0.000
Pr  0.989  0.862  0.500
Ga  0.052  0.617  0.975
Ga  0.448  0.617  0.475
Ga  0.552  0.383  0.975
Ga  0.948  0.383  0.475
N  0.000  0.159  0.501
N  0.000  0.841  0.001
N  0.500  0.159  0.001
N  0.500  0.841  0.501
O  0.124  0.559  0.620
O  0.376  0.559  0.120
O  0.624  0.441  0.620
O  0.876  0.441  0.120